No. 1
# Ca3Y, optimized geometry, DFT PBEsol
# * energy above the most stable polymorph in this dataset: 26 meV per atom
# * calculated formation energy: 102 meV/atom
# * crystal system: orthorhombic
data_Ca3Y
_cell_length_a 6.446
_cell_length_b 12.270
_cell_length_c 7.556
_cell_angle_alpha 90.00
_cell_angle_beta 90.00
_cell_angle_gamma 90.00
_symmetry_space_group_name_H-M 'P n m a'
_symmetry_Int_Tables_number 62
_symmetry_space_group_name_Hall '-P 2ac 2n'
loop_
_atom_site_label
_atom_site_type_symbol
_atom_site_fract_x
_atom_site_fract_y
_atom_site_fract_z
Ca1 Ca 0.082 0.250 0.121
Ca2 Ca 0.247 0.503 0.377
Y1 Y 0.083 0.250 0.638



No. 2
# MgTe2Os, optimized geometry, DFT PBEsol
# * formation energy without anion corrections: 0.200 eV/atom
# * crystal system: orthorhombic
data_MgTe2Os
_cell_length_a 3.174
_cell_length_b 4.404
_cell_length_c 12.539
_cell_angle_alpha 90.00
_cell_angle_beta 90.00
_cell_angle_gamma 90.00
_symmetry_space_group_name_H-M 'I m m 2'
_symmetry_Int_Tables_number 44
_symmetry_space_group_name_Hall 'I 2 -2'
loop_
_atom_site_label
_atom_site_type_symbol
_atom_site_fract_x
_atom_site_fract_y
_atom_site_fract_z
Mg1 Mg 0.000 0.000 0.000
Te1 Te 0.000 0.000 0.377
Te2 Te 0.000 0.500 0.153
Os1 Os 0.000 0.500 0.704